(1)
# KAcHgPt (PBE-GGA, relaxed)
# Crystal system: cubic
# E in eV per cell: -51.7
# Spin magnetization in μB per cell: 0.0
data_KAcHgPt
_cell_length_a 7.7247
_cell_length_b 7.7247
_cell_length_c 7.7247
_cell_angle_alpha 90.00
_cell_angle_beta 90.00
_cell_angle_gamma 90.00
_space_group_name_H-M_alt 'F -4 3 m'
_space_group_IT_number 216
_space_group_name_Hall 'F -4 2 3'
loop_
_atom_site_label
_atom_site_fract_x
_atom_site_fract_y
_atom_site_fract_z
K1 0.0000 0.0000 0.0000
Ac1 0.0000 0.0000 0.5000
Hg1 0.2500 0.2500 0.2500
Pt1 0.2500 0.2500 0.7500

---

(2)
# KAc2HgS4 (PBE-GGA, relaxed)
# Uncorrected formation energy in eV per atom: -1.484
# Crystal system: orthorhombic
# E in eV per cell: -152.0
# Spin magnetization in μB per cell: 0.0
data_KAc2HgS4
_cell_length_a 4.4867
_cell_length_b 14.4307
_cell_length_c 15.2432
_cell_angle_alpha 90.00
_cell_angle_beta 90.00
_cell_angle_gamma 90.00
_space_group_name_H-M_alt 'C m c m'
_space_group_IT_number 63
_space_group_name_Hall '-C 2c 2'
loop_
_atom_site_label
_atom_site_fract_x
_atom_site_fract_y
_atom_site_fract_z
K1 0.0000 0.1185 0.2500
Ac1 0.0000 0.3699 0.0655
Hg1 0.0000 0.1507 0.7500
S1 0.0000 0.0000 0.0000
S2 0.0000 0.2644 0.6022
S3 0.0000 0.4532 0.2500

---

(3)
# K2AcHgSb2 (PBE-GGA, relaxed)
# Uncorrected formation energy in eV per atom: -0.583
# Crystal system: orthorhombic
# E in eV per cell: -36.7
# Spin magnetization in μB per cell: 0.0
data_K2AcHgSb2
_cell_length_a 4.8392
_cell_length_b 9.8841
_cell_length_c 8.9581
_cell_angle_alpha 90.00
_cell_angle_beta 90.00
_cell_angle_gamma 90.00
_space_group_name_H-M_alt 'P m c 21'
_space_group_IT_number 26
_space_group_name_Hall 'P 2c -2'
loop_
_atom_site_label
_atom_site_fract_x
_atom_site_fract_y
_atom_site_fract_z
K1 0.0000 0.0806 0.0000
K2 0.5000 0.1626 0.3269
Ac1 0.5000 0.4672 0.9421
Hg1 0.0000 0.3106 0.5902
Sb1 0.0000 0.3987 0.2031
Sb2 0.5000 0.1844 0.7243

---

(4)
# K2AcHg2Se4 (PBE-GGA, relaxed)
# Uncorrected formation energy in eV per atom: -0.989
# Crystal system: monoclinic
# E in eV per cell: -59.5
# Spin magnetization in μB per cell: 0.0
data_K2AcHg2Se4
_cell_length_a 16.4203
_cell_length_b 4.6890
_cell_length_c 8.1289
_cell_angle_alpha 90.00
_cell_angle_beta 109.42
_cell_angle_gamma 90.00
_space_group_name_H-M_alt 'C 1 2/m 1'
_space_group_IT_number 12
_space_group_name_Hall '-C 2y'
loop_
_atom_site_label
_atom_site_fract_x
_atom_site_fract_y
_atom_site_fract_z
K1 0.1321 0.0000 0.0719
Ac1 0.0000 0.0000 0.5000
Hg1 0.1768 0.5000 0.5155
Se1 0.0176 0.5000 0.2541
Se2 0.2034 0.0000 0.7074

---

(5)
# KAcHgSe3 (PBE-GGA, relaxed)
# Uncorrected formation energy in eV per atom: -1.235
# Crystal system: monoclinic
# E in eV per cell: -46.7
# Spin magnetization in μB per cell: 0.0
data_KAcHgSe3
_cell_length_a 9.2197
_cell_length_b 4.5091
_cell_length_c 10.3899
_cell_angle_alpha 90.00
_cell_angle_beta 102.59
_cell_angle_gamma 90.00
_space_group_name_H-M_alt 'P 1 21/m 1'
_space_group_IT_number 11
_space_group_name_Hall '-P 2yb'
loop_
_atom_site_label
_atom_site_fract_x
_atom_site_fract_y
_atom_site_fract_z
K1 0.1985 0.2500 0.2262
Ac1 0.3282 0.7500 0.8506
Hg1 0.0912 0.2500 0.6100
Se1 0.0929 0.2500 0.8649
Se2 0.2167 0.7500 0.5261
Se3 0.4436 0.7500 0.1525

---

(6)
# KAc2HgSe4 (PBE-GGA, relaxed)
# Uncorrected formation energy in eV per atom: -1.431
# Crystal system: orthorhombic
# E in eV per cell: -140.0
# Spin magnetization in μB per cell: 0.0
data_KAc2HgSe4
_cell_length_a 4.6956
_cell_length_b 14.9073
_cell_length_c 15.5645
_cell_angle_alpha 90.00
_cell_angle_beta 90.00
_cell_angle_gamma 90.00
_space_group_name_H-M_alt 'C m c m'
_space_group_IT_number 63
_space_group_name_Hall '-C 2c 2'
loop_
_atom_site_label
_atom_site_fract_x
_atom_site_fract_y
_atom_site_fract_z
K1 0.0000 0.1230 0.2500
Ac1 0.0000 0.3701 0.0638
Hg1 0.0000 0.1396 0.7500
Se1 0.0000 0.0000 0.0000
Se2 0.0000 0.2642 0.6082
Se3 0.0000 0.4555 0.2500

---

(7)
# KAcSiHg (PBE-GGA, relaxed)
# Uncorrected formation energy in eV per atom: -0.176
# Crystal system: cubic
# E in eV per cell: -46.5
# Spin magnetization in μB per cell: 0.0
data_KAcSiHg
_cell_length_a 7.8840
_cell_length_b 7.8840
_cell_length_c 7.8840
_cell_angle_alpha 90.00
_cell_angle_beta 90.00
_cell_angle_gamma 90.00
_space_group_name_H-M_alt 'F -4 3 m'
_space_group_IT_number 216
_space_group_name_Hall 'F -4 2 3'
loop_
_atom_site_label
_atom_site_fract_x
_atom_site_fract_y
_atom_site_fract_z
K1 0.0000 0.0000 0.0000
Ac1 0.0000 0.0000 0.5000
Si1 0.2500 0.2500 0.2500
Hg1 0.2500 0.2500 0.7500

---

(8)
# KAcSnHg (PBE-GGA, relaxed)
# Crystal system: cubic
# E in eV per cell: -44.4
# Spin magnetization in μB per cell: 0.0
data_KAcSnHg
_cell_length_a 8.1615
_cell_length_b 8.1615
_cell_length_c 8.1615
_cell_angle_alpha 90.00
_cell_angle_beta 90.00
_cell_angle_gamma 90.00
_space_group_name_H-M_alt 'F -4 3 m'
_space_group_IT_number 216
_space_group_name_Hall 'F -4 2 3'
loop_
_atom_site_label
_atom_site_fract_x
_atom_site_fract_y
_atom_site_fract_z
K1 0.0000 0.0000 0.0000
Ac1 0.0000 0.0000 0.5000
Sn1 0.2500 0.2500 0.7500
Hg1 0.2500 0.2500 0.2500

---

(9)
# K2AcHg2Te4 (PBE-GGA, relaxed)
# Uncorrected formation energy in eV per atom: -0.838
# Crystal system: monoclinic
# E in eV per cell: -54.0
# Spin magnetization in μB per cell: 0.0
data_K2AcHg2Te4
_cell_length_a 17.0496
_cell_length_b 5.0472
_cell_length_c 8.5021
_cell_angle_alpha 90.00
_cell_angle_beta 109.16
_cell_angle_gamma 90.00
_space_group_name_H-M_alt 'C 1 2/m 1'
_space_group_IT_number 12
_space_group_name_Hall '-C 2y'
loop_
_atom_site_label
_atom_site_fract_x
_atom_site_fract_y
_atom_site_fract_z
K1 0.1322 0.0000 0.0771
Ac1 0.0000 0.0000 0.5000
Hg1 0.1722 0.5000 0.5161
Te1 0.0107 0.5000 0.2442
Te2 0.2080 0.0000 0.6991

---

(10)
# KAcZnHg (PBE-GGA, relaxed)
# Crystal system: cubic
# E in eV per cell: -28.6
# Spin magnetization in μB per cell: 0.0
data_KAcZnHg
_cell_length_a 7.9870
_cell_length_b 7.9870
_cell_length_c 7.9870
_cell_angle_alpha 90.00
_cell_angle_beta 90.00
_cell_angle_gamma 90.00
_space_group_name_H-M_alt 'F -4 3 m'
_space_group_IT_number 216
_space_group_name_Hall 'F -4 2 3'
loop_
_atom_site_label
_atom_site_fract_x
_atom_site_fract_y
_atom_site_fract_z
K1 0.0000 0.0000 0.0000
Ac1 0.0000 0.0000 0.5000
Zn1 0.2500 0.2500 0.7500
Hg1 0.2500 0.2500 0.2500

---

(11)
# AcLa6Hg (PBE-GGA, relaxed)
# Energy above the lowest structure with this stoichiometry in meV per atom: 0
# Crystal system: tetragonal
# E in eV per cell: -34.6
# Spin magnetization in μB per cell: 0.0
data_AcLa6Hg
_cell_length_a 5.1642
_cell_length_b 5.1642
_cell_length_c 10.4560
_cell_angle_alpha 90.00
_cell_angle_beta 90.00
_cell_angle_gamma 90.00
_space_group_name_H-M_alt 'P 4/m m m'
_space_group_IT_number 123
_space_group_name_Hall '-P 4 2'
loop_
_atom_site_label
_atom_site_fract_x
_atom_site_fract_y
_atom_site_fract_z
Ac1 0.0000 0.0000 0.0000
La1 0.0000 0.5000 0.2609
La2 0.5000 0.5000 0.0000
La3 0.5000 0.5000 0.5000
Hg1 0.0000 0.0000 0.5000

---

(12)
# Ac5LaHg4 (PBE-GGA, relaxed)
# Crystal system: tetragonal
# E in eV per cell: -30.4
# Spin magnetization in μB per cell: 0.8
data_Ac5LaHg4
_cell_length_a 4.0220
_cell_length_b 4.0220
_cell_length_c 21.5583
_cell_angle_alpha 90.00
_cell_angle_beta 90.00
_cell_angle_gamma 90.00
_space_group_name_H-M_alt 'P 4/m m m'
_space_group_IT_number 123
_space_group_name_Hall '-P 4 2'
loop_
_atom_site_label
_atom_site_fract_x
_atom_site_fract_y
_atom_site_fract_z
Ac1 0.0000 0.0000 0.0000
Ac2 0.0000 0.0000 0.1886
Ac3 0.0000 0.0000 0.3776
La1 0.5000 0.5000 0.5000
Hg1 0.5000 0.5000 0.0940
Hg2 0.5000 0.5000 0.2854

---

Question: Number 5 is which compound?
Answer: KAcHgSe3